Entry from the Alexandria database: a geometry-optimized Dy3PdN structure (PBE-GGA).

Lattice parameters (Å, degrees): 4.737 4.737 4.737 90.00 90.00 90.00
Sites, in units of the cell vectors:
Dy (0.000, 0.000, 0.500)
Dy (0.000, 0.500, 0.000)
Dy (0.500, 0.000, 0.000)
Pd (0.500, 0.500, 0.500)
N (0.000, 0.000, 0.000)

## Properties
DOS at the Fermi energy = 5.53 states/eV/cell
E = -31.8 eV per cell
crystal system = cubic

***

Entry from the Alexandria database: a geometry-optimized Dy12Pd3N5 structure (PBE-GGA).

Lattice parameters (Å, degrees): 13.239 13.239 13.239 109.47 109.47 109.47
Sites, in units of the cell vectors:
Dy (0.019, 0.203, 0.117)
Dy (0.019, 0.317, 0.903)
Dy (0.086, 0.703, 0.683)
Dy (0.086, 0.883, 0.403)
Dy (0.097, 0.617, 0.414)
Dy (0.097, 0.981, 0.683)
Dy (0.117, 0.019, 0.203)
Dy (0.117, 0.597, 0.914)
Dy (0.183, 0.203, 0.586)
Dy (0.183, 0.481, 0.597)
Dy (0.203, 0.117, 0.019)
Dy (0.203, 0.586, 0.183)
Dy (0.297, 0.317, 0.914)
Dy (0.297, 0.481, 0.383)
Dy (0.317, 0.903, 0.019)
Dy (0.317, 0.914, 0.297)
Dy (0.383, 0.297, 0.481)
Dy (0.383, 0.586, 0.903)
Dy (0.403, 0.086, 0.883)
Dy (0.403, 0.817, 0.519)
Dy (0.414, 0.097, 0.617)
Dy (0.414, 0.817, 0.797)
Dy (0.481, 0.383, 0.297)
Dy (0.481, 0.597, 0.183)
Dy (0.519, 0.403, 0.817)
Dy (0.519, 0.617, 0.703)
Dy (0.586, 0.183, 0.203)
Dy (0.586, 0.903, 0.383)
Dy (0.597, 0.183, 0.481)
Dy (0.597, 0.914, 0.117)
Dy (0.617, 0.414, 0.097)
Dy (0.617, 0.703, 0.519)
Dy (0.683, 0.086, 0.703)
Dy (0.683, 0.097, 0.981)
Dy (0.703, 0.519, 0.617)
Dy (0.703, 0.683, 0.086)
Dy (0.797, 0.414, 0.817)
Dy (0.797, 0.883, 0.981)
Dy (0.817, 0.519, 0.403)
Dy (0.817, 0.797, 0.414)
Dy (0.883, 0.403, 0.086)
Dy (0.883, 0.981, 0.797)
Dy (0.903, 0.019, 0.317)
Dy (0.903, 0.383, 0.586)
Dy (0.914, 0.117, 0.597)
Dy (0.914, 0.297, 0.317)
Dy (0.981, 0.683, 0.097)
Dy (0.981, 0.797, 0.883)
Pd (0.125, 0.250, 0.375)
Pd (0.125, 0.375, 0.750)
Pd (0.250, 0.375, 0.125)
Pd (0.250, 0.875, 0.625)
Pd (0.375, 0.125, 0.250)
Pd (0.375, 0.750, 0.125)
Pd (0.625, 0.250, 0.875)
Pd (0.625, 0.875, 0.750)
Pd (0.750, 0.125, 0.375)
Pd (0.750, 0.625, 0.875)
Pd (0.875, 0.625, 0.250)
Pd (0.875, 0.750, 0.625)
N (0.000, 0.000, 0.000)
N (0.000, 0.000, 0.500)
N (0.000, 0.500, 0.000)
N (0.000, 0.500, 0.500)
N (0.125, 0.750, 0.875)
N (0.125, 0.875, 0.250)
N (0.250, 0.125, 0.875)
N (0.250, 0.625, 0.375)
N (0.375, 0.250, 0.625)
N (0.375, 0.625, 0.750)
N (0.500, 0.000, 0.000)
N (0.500, 0.000, 0.500)
N (0.500, 0.500, 0.000)
N (0.500, 0.500, 0.500)
N (0.625, 0.375, 0.250)
N (0.625, 0.750, 0.375)
N (0.750, 0.375, 0.625)
N (0.750, 0.875, 0.125)
N (0.875, 0.125, 0.750)
N (0.875, 0.250, 0.125)

## Properties
DOS at the Fermi energy = 68.01 states/eV/cell
E = -525.4 eV per cell
crystal system = cubic

***

Entry from the Alexandria database: a geometry-optimized PmDy2N3 structure (PBE-GGA).

Lattice parameters (Å, degrees): 6.100 6.100 6.099 99.59 99.59 120.00
Sites, in units of the cell vectors:
Pm (0.167, 0.833, 0.000)
Pm (0.833, 0.167, 0.000)
Dy (0.000, 0.000, 0.500)
Dy (0.334, 0.666, 0.500)
Dy (0.500, 0.500, 0.000)
Dy (0.666, 0.334, 0.500)
N (0.087, 0.415, 0.744)
N (0.257, 0.257, 0.256)
N (0.415, 0.087, 0.744)
N (0.585, 0.913, 0.256)
N (0.743, 0.743, 0.744)
N (0.913, 0.585, 0.256)

## Properties
DOS at the Fermi energy = 0.16 states/eV/cell
E = -97.1 eV per cell
crystal system = monoclinic